Entry 1:
## Ce3AlB2Rh9 (GGA-PBE)

Data for a relaxed Ce3AlB2Rh9 crystal.

Calculated values
ρ: 9.46 Mg/m³
VASP energy: -7.425 eV per atom
ΔH_f (0 K): -0.687 eV/atom

Lattice parameters (Å, degrees): 6.0163 6.0163 7.8148 90.00 90.00 120.00
Closest atoms and distances in Å follow each position.
Space group P-3m1 (No. 164)
Inequivalent atoms, fractional coordinates:
1 Ce 0.0000 0.0000 0.0000 (multiplicity 1)  12 Rh 2.99-3.01
2 Ce 0.3333 0.6667 0.6589 (multiplicity 2)  12 Rh 3.02-3.23
3 Al 0.0000 0.0000 0.5000 (multiplicity 1)  6 Rh 2.36
4 B 0.3333 0.6667 0.1493 (multiplicity 2)  6 Rh 2.07-2.09
5 Rh 0.0000 0.5000 0.0000 (multiplicity 3)  2 B 2.09
6 Rh 0.1731 0.3462 0.3051 (multiplicity 6)  1 B 2.07

***

Entry 2:
## CeAl2BRu2 (GGA-PBE)

Data for a relaxed CeAl2BRu2 crystal.

Calculated values
ρ: 6.87 Mg/m³
VASP energy: -7.052 eV per atom
ΔH_f (0 K): -0.611 eV/atom

Lattice parameters (Å, degrees): 4.2049 4.2049 5.5607 90.00 90.00 90.00
Closest atoms and distances in Å follow each position.
Space group P4/mmm (No. 123)
Inequivalent atoms, fractional coordinates:
1 Ce 0.0000 0.0000 0.0000 (multiplicity 1)  2 B 2.78
2 Al 0.5000 0.5000 0.2404 (multiplicity 2)  4 Ru 2.55, 1 Al 2.67
3 B 0.0000 0.0000 0.5000 (multiplicity 1)  4 Ru 2.10
4 Ru 0.0000 0.5000 0.5000 (multiplicity 2)  2 B 2.10

***

Entry 3:
## AlBCl2 (GGA-PBE)

Data for a relaxed AlBCl2 crystal.

Calculated values
ρ: 2.28 Mg/m³
VASP energy: -2.744 eV per atom
uncorrected formation energy: 0.785 eV/atom
ΔE to the lowest computed polymorph: 365 meV per atom

Lattice parameters (Å, degrees): 6.8148 6.8148 6.8148 90.00 90.00 90.00
Closest atoms and distances in Å follow each position.
Space group Fm-3m (No. 225)
Inequivalent atoms, fractional coordinates:
1 Al 0.0000 0.0000 0.0000 (multiplicity 4)  8 Cl 2.95
2 B 0.0000 0.0000 0.5000 (multiplicity 4)  8 Cl 2.95
3 Cl 0.2500 0.2500 0.2500 (multiplicity 8)  4 Al 2.95, 4 B 2.95

***

Entry 4:
## AlBCl2 (GGA-PBE)

Data for a relaxed AlBCl2 crystal.

Calculated values
ρ: 2.29 Mg/m³
VASP energy: -2.923 eV per atom
uncorrected formation energy: 0.605 eV/atom
ΔE to the lowest computed polymorph: 186 meV per atom

Lattice parameters (Å, degrees): 3.3694 3.3694 24.0572 90.00 90.00 120.00
Closest atoms and distances in Å follow each position.
Space group R-3m (No. 166, hexagonal axes)
Inequivalent atoms, fractional coordinates:
1 Al 0.0000 0.0000 0.0000 (multiplicity 3)  2 Cl 2.37
2 B 0.0000 0.0000 0.5000 (multiplicity 3)  6 Cl 2.55
3 Cl 0.0000 0.0000 0.0983 (multiplicity 6)  1 Al 2.37, 3 B 2.55

***

Entry 5:
## Al3BCl (GGA-PBE)

Data for a relaxed Al3BCl crystal.

Calculated values
ρ: 1.71 Mg/m³
VASP energy: -2.402 eV per atom
uncorrected formation energy: 1.549 eV/atom
ΔE to the lowest computed polymorph: 1230 meV per atom

Lattice parameters (Å, degrees): 4.9774 4.9774 4.9774 90.00 90.00 90.00
Closest atoms and distances in Å follow each position.
Space group Pm-3m (No. 221)
Inequivalent atoms, fractional coordinates:
1 Al 0.0000 0.0000 0.5000 (multiplicity 3)  2 Cl 2.49
2 B 0.5000 0.5000 0.5000 (multiplicity 1)  12 Al 3.52
3 Cl 0.0000 0.0000 0.0000 (multiplicity 1)  6 Al 2.49

***

Entry 6:
## Al3BCl (GGA-PBE)

Data for a relaxed Al3BCl crystal.

Calculated values
ρ: 2.44 Mg/m³
VASP energy: -3.632 eV per atom
uncorrected formation energy: 0.318 eV/atom
ΔE to the lowest computed polymorph: 0 meV per atom

Lattice parameters (Å, degrees): 4.4248 4.4248 4.4248 90.00 90.00 90.00
Closest atoms and distances in Å follow each position.
Space group Pm-3m (No. 221)
Inequivalent atoms, fractional coordinates:
1 Al 0.0000 0.0000 0.5000 (multiplicity 3)  2 B 2.21
2 B 0.0000 0.0000 0.0000 (multiplicity 1)  6 Al 2.21
3 Cl 0.5000 0.5000 0.5000 (multiplicity 1)  12 Al 3.13

***

Entry 7:
## AlBCl3 (GGA-PBE)

Data for a relaxed AlBCl3 crystal.

Calculated values
ρ: 2.19 Mg/m³
VASP energy: -3.018 eV per atom
uncorrected formation energy: 0.173 eV/atom
ΔE to the lowest computed polymorph: 0 meV per atom

Lattice parameters (Å, degrees): 4.7826 4.7826 4.7826 90.00 90.00 90.00
Closest atoms and distances in Å follow each position.
Space group Pm-3m (No. 221)
Inequivalent atoms, fractional coordinates:
1 Al 0.0000 0.0000 0.0000 (multiplicity 1)  6 Cl 2.39
2 B 0.5000 0.5000 0.5000 (multiplicity 1)  12 Cl 3.38
3 Cl 0.0000 0.0000 0.5000 (multiplicity 3)  2 Al 2.39

***

Entry 8:
## AlBCl2 (GGA-PBE)

Data for a relaxed AlBCl2 crystal.

Calculated values
ρ: 1.73 Mg/m³
VASP energy: -2.855 eV per atom
uncorrected formation energy: 0.673 eV/atom
ΔE to the lowest computed polymorph: 254 meV per atom

Lattice parameters (Å, degrees): 6.6503 6.6503 9.4591 90.00 90.00 90.00
Closest atoms and distances in Å follow each position.
Space group I4_1/amd (No. 141, origin choice 2)
Inequivalent atoms, fractional coordinates:
1 Al 0.0000 0.2500 0.3750 (multiplicity 4)  12 Cl 3.90-3.92, 4 B 4.08, 4 Al 4.08
2 B 0.0000 0.2500 0.8750 (multiplicity 4)  4 Cl 2.04
3 Cl 0.0000 0.0000 0.0000 (multiplicity 8)  2 B 2.04

***

Entry 9:
## AlBCl3 (GGA-PBE)

Data for a relaxed AlBCl3 crystal.

Calculated values
ρ: 2.51 Mg/m³
VASP energy: -3.006 eV per atom
uncorrected formation energy: 0.186 eV/atom
ΔE to the lowest computed polymorph: 13 meV per atom

Lattice parameters (Å, degrees): 4.5694 4.5694 4.5694 90.00 90.00 90.00
Closest atoms and distances in Å follow each position.
Space group Pm-3m (No. 221)
Inequivalent atoms, fractional coordinates:
1 Al 0.0000 0.0000 0.0000 (multiplicity 1)  12 Cl 3.23
2 B 0.5000 0.5000 0.5000 (multiplicity 1)  6 Cl 2.28
3 Cl 0.0000 0.5000 0.5000 (multiplicity 3)  2 B 2.28

***

Entry 10:
## AlB2Cl4 (GGA-PBE)

Data for a relaxed AlB2Cl4 crystal.

Calculated values
ρ: 1.17 Mg/m³
VASP energy: -3.223 eV per atom
uncorrected formation energy: 0.275 eV/atom

Lattice parameters (Å, degrees): 4.7929 4.7929 23.4809 90.00 90.00 90.00
Closest atoms and distances in Å follow each position.
Space group I4/mmm (No. 139)
Inequivalent atoms, fractional coordinates:
1 Al 0.0000 0.0000 0.0000 (multiplicity 2)  4 Cl 2.40
2 B 0.0000 0.0000 0.2318 (multiplicity 4)  1 Cl 1.72
3 Cl 0.0000 0.0000 0.1586 (multiplicity 4)  1 B 1.72
4 Cl 0.0000 0.5000 0.0000 (multiplicity 4)  2 Al 2.40

***

Entry 11:
## AlBCl2 (GGA-PBE)

Data for a relaxed AlBCl2 crystal.

Calculated values
ρ: 2.05 Mg/m³
VASP energy: -3.109 eV per atom
uncorrected formation energy: 0.419 eV/atom
ΔE to the lowest computed polymorph: 0 meV per atom

Lattice parameters (Å, degrees): 3.1611 3.1611 30.4986 90.00 90.00 120.00
Closest atoms and distances in Å follow each position.
Space group R-3m (No. 166, hexagonal axes)
Inequivalent atoms, fractional coordinates:
1 Al 0.0000 0.0000 0.0000 (multiplicity 3)  6 Al 3.16
2 B 0.0000 0.0000 0.5000 (multiplicity 3)  2 Cl 1.68
3 Cl 0.0000 0.0000 0.4450 (multiplicity 6)  1 B 1.68

***

Question: Among the records above, which one has the lowest ρ?
Answer: AlB2Cl4

***

Question: What is the VASP energy in the tenth record?
Answer: -3.223 eV per atom